(1)
First-principles (GGA-PBE) data for a geometry-optimized K3ZrBe structure, as listed in Alexandria.

Geometry as POSCAR:
```
K3ZrBe
1.0
6.234 0.000 0.000
0.000 6.234 0.000
0.000 0.000 6.234
K Zr Be
3 1 1
direct
0.000 0.000 0.500 K
0.000 0.500 0.000 K
0.500 0.000 0.000 K
0.500 0.500 0.500 Zr
0.000 0.000 0.000 Be
```

- E_tot: -1.66 eV per atom
- Magnetization: 0.186 μB per cell
- Formation enthalpy at 0 K: 1.4549 eV per atom
- SG: No. 221
- E above lowest polymorph: 0.000 eV per atom

(2)
First-principles (GGA-PBE) data for a geometry-optimized KZr2Be structure, as listed in Alexandria.

Geometry as POSCAR:
```
KZr2Be
1.0
-2.184 2.184 4.666
2.184 -2.184 4.666
2.184 2.184 -4.666
K Zr Be
1 2 1
direct
0.000 0.000 0.000 K
0.250 0.750 0.500 Zr
0.500 0.500 0.000 Zr
0.750 0.250 0.500 Be
```

- E_tot: -4.41 eV per atom
- Magnetization: 0.291 μB per cell
- Formation enthalpy at 0 K: 1.0737 eV per atom
- SG: No. 119

(3)
First-principles (GGA-PBE) data for a geometry-optimized K2ZrBe structure, as listed in Alexandria.

Geometry as POSCAR:
```
K2ZrBe
1.0
1.745 -2.667 0.000
1.745 2.667 0.000
0.000 0.000 12.560
K Zr Be
2 1 1
direct
0.000 0.000 0.224 K
0.000 0.000 0.776 K
0.500 0.500 0.500 Zr
0.500 0.500 0.000 Be
```

- E_tot: -2.51 eV per atom
- Magnetization: 0.001 μB per cell
- Formation enthalpy at 0 K: 1.1116 eV per atom
- SG: No. 65

(4)
First-principles (GGA-PBE) data for a geometry-optimized KZr4Be structure, as listed in Alexandria.

Geometry as POSCAR:
```
KZr4Be
1.0
0.000 4.217 4.217
4.217 0.000 4.217
4.217 4.217 0.000
K Zr Be
1 4 1
direct
0.000 0.000 0.000 K
0.132 0.623 0.623 Zr
0.623 0.132 0.623 Zr
0.623 0.623 0.132 Zr
0.623 0.623 0.623 Zr
0.250 0.250 0.250 Be
```

- E_tot: -5.55 eV per atom
- Magnetization: 0.000 μB per cell
- Formation enthalpy at 0 K: 0.9491 eV per atom
- SG: No. 216

(5)
First-principles (GGA-PBE) data for a geometry-optimized KZr2Be structure, as listed in Alexandria.

Geometry as POSCAR:
```
KZr2Be
1.0
4.470 0.000 0.000
0.000 4.470 0.000
0.000 0.000 4.473
K Zr Be
1 2 1
direct
0.000 0.000 0.000 K
0.000 0.500 0.500 Zr
0.500 0.000 0.500 Zr
0.500 0.500 0.000 Be
```

- E_tot: -4.41 eV per atom
- Magnetization: 0.000 μB per cell
- Formation enthalpy at 0 K: 1.0660 eV per atom
- SG: No. 123

(6)
First-principles (GGA-PBE) data for a geometry-optimized K2ZrBe structure, as listed in Alexandria.

Geometry as POSCAR:
```
K2ZrBe
1.0
-2.128 2.128 6.197
2.128 -2.128 6.197
2.128 2.128 -6.197
K Zr Be
2 1 1
direct
0.250 0.750 0.500 K
0.750 0.250 0.500 K
0.000 0.000 0.000 Zr
0.500 0.500 0.000 Be
```

- E_tot: -2.51 eV per atom
- Magnetization: 1.846 μB per cell
- Formation enthalpy at 0 K: 1.1103 eV per atom
- SG: No. 139

Copy entry 4 word for word.
First-principles (GGA-PBE) data for a geometry-optimized KZr4Be structure, as listed in Alexandria.

Geometry as POSCAR:
```
KZr4Be
1.0
0.000 4.217 4.217
4.217 0.000 4.217
4.217 4.217 0.000
K Zr Be
1 4 1
direct
0.000 0.000 0.000 K
0.132 0.623 0.623 Zr
0.623 0.132 0.623 Zr
0.623 0.623 0.132 Zr
0.623 0.623 0.623 Zr
0.250 0.250 0.250 Be
```

- E_tot: -5.55 eV per atom
- Magnetization: 0.000 μB per cell
- Formation enthalpy at 0 K: 0.9491 eV per atom
- SG: No. 216